This record from the Alexandria database describes crystalline Li5Al2Ag at its relaxed geometry. The functional is PBE-GGA.

Geometry as POSCAR:
```
Li5Al2Ag
1.0
4.364 0.000 0.000
0.000 5.599 0.000
0.000 0.000 10.914
Li Al Ag
10 4 2
Cartesian
0.000 0.000 0.000
0.000 2.799 5.457
0.000 2.237 8.197
0.000 3.362 2.717
0.000 0.563 2.740
0.000 5.036 8.173
2.182 1.029 9.413
2.182 4.569 1.500
2.182 1.770 3.957
2.182 3.829 6.957
2.182 1.003 6.592
2.182 4.596 4.322
2.182 1.797 1.135
2.182 3.802 9.778
0.000 0.000 5.457
0.000 2.799 0.000
```

Calculated values
formation energy: -0.130 eV per atom
magnetic moment: 0.0 μB/cell
polymorph energy (0 for the lowest one): 6 kJ/mol of formula units
DOS at the Fermi energy: 3.22 states/eV/f.u.